The following is a DFT calculation (PBE) of an optimized crystal structure of TmPuGePd.

Crystal system   cubic
Size of the total moment   5.3 μB per formula unit
ΔH_f (0 K)   -0.58 eV per atom

Structure (CIF):
```
data_TmPuGePd
_chemical_formula_sum 'Tm4 Pu4 Ge4 Pd4'
_cell_length_a 7.065
_cell_length_b 7.065
_cell_length_c 7.065
_cell_angle_alpha 90.00
_cell_angle_beta 90.00
_cell_angle_gamma 90.00
_symmetry_space_group_name_H-M 'F -4 3 m'
_symmetry_Int_Tables_number 216
_symmetry_space_group_name_Hall 'F -4 2 3'
loop_
_atom_site_label
_atom_site_fract_x
_atom_site_fract_y
_atom_site_fract_z
Tm1 0.000 0.000 0.000
Pu1 0.000 0.000 0.500
Ge1 0.250 0.250 0.250
Pd1 0.250 0.250 0.750
```

***

The following is a DFT calculation (PBE) of an optimized crystal structure of Pa2CrGa.

Crystal system   trigonal
Energy above the lowest structure with this stoichiometry   0.2132 eV per atom
Size of the total moment   0.1 μB per formula unit
ΔH_f (0 K)   0.19 eV per atom

Structure (CIF):
```
data_Pa2CrGa
_chemical_formula_sum 'Pa6 Cr3 Ga3'
_cell_length_a 4.8628
_cell_length_b 4.8628
_cell_length_c 12.0416
_cell_angle_alpha 90.00
_cell_angle_beta 90.00
_cell_angle_gamma 120.00
_symmetry_space_group_name_H-M 'R -3 m'
_symmetry_Int_Tables_number 166
_symmetry_space_group_name_Hall '-R 3 2"'
loop_
_atom_site_label
_atom_site_fract_x
_atom_site_fract_y
_atom_site_fract_z
Pa1 0.0000 0.0000 0.2491
Cr1 0.0000 0.0000 0.5000
Ga1 0.0000 0.0000 0.0000
```

***

The following is a DFT calculation (PBE) of an optimized crystal structure of KCrPt.

Crystal system   cubic
Energy above the lowest structure with this stoichiometry   0.5060 eV per atom
Size of the total moment   4.9 μB per formula unit
ΔH_f (0 K)   0.76 eV per atom

Structure (CIF):
```
data_KCrPt
_chemical_formula_sum 'K4 Cr4 Pt4'
_cell_length_a 6.797
_cell_length_b 6.797
_cell_length_c 6.797
_cell_angle_alpha 90.00
_cell_angle_beta 90.00
_cell_angle_gamma 90.00
_symmetry_space_group_name_H-M 'F -4 3 m'
_symmetry_Int_Tables_number 216
_symmetry_space_group_name_Hall 'F -4 2 3'
loop_
_atom_site_label
_atom_site_fract_x
_atom_site_fract_y
_atom_site_fract_z
K1 0.000 0.000 0.000
Cr1 0.000 0.000 0.500
Pt1 0.250 0.250 0.250
```

***

The following is a DFT calculation (PBE) of an optimized crystal structure of CdAg2Cl2F2.

Crystal system   monoclinic
Raw formation energy   -1.080 eV/atom
Size of the total moment   0.0 μB per formula unit

Structure (CIF):
```
data_CdAg2Cl2F2
_chemical_formula_sum 'Cd2 Ag4 Cl4 F4'
_cell_length_a 12.659
_cell_length_b 3.860
_cell_length_c 6.465
_cell_angle_alpha 90.00
_cell_angle_beta 114.77
_cell_angle_gamma 90.00
_symmetry_space_group_name_H-M 'C 1 2/m 1'
_symmetry_Int_Tables_number 12
loop_
_symmetry_equiv_pos_as_xyz
'x,y,z'
'-x,-y,-z'
'-x,y,-z'
'x,-y,z'
'x+1/2,y+1/2,z'
'-x+1/2,-y+1/2,-z'
'-x+1/2,y+1/2,-z'
'x+1/2,-y+1/2,z'
loop_
_atom_site_label
_atom_site_fract_x
_atom_site_fract_y
_atom_site_fract_z
Cd1 0.000 0.000 0.000
Ag1 0.213 0.000 0.711
Cl1 0.094 0.500 0.832
F1 0.164 0.000 0.307
```

***

The following is a DFT calculation (PBE) of an optimized crystal structure of Ba3Sr2AcO6.

Crystal system   monoclinic
Raw formation energy   -2.594 eV/atom
Size of the total moment   0.0 μB per formula unit

Structure (CIF):
```
data_Ba3Sr2AcO6
_chemical_formula_sum 'Ba6 Sr4 Ac2 O12'
_cell_length_a 6.610
_cell_length_b 11.454
_cell_length_c 6.718
_cell_angle_alpha 90.00
_cell_angle_beta 109.14
_cell_angle_gamma 90.00
_symmetry_space_group_name_H-M 'C 1 2/m 1'
_symmetry_Int_Tables_number 12
loop_
_symmetry_equiv_pos_as_xyz
'x,y,z'
'-x,-y,-z'
'-x,y,-z'
'x,-y,z'
'x+1/2,y+1/2,z'
'-x+1/2,-y+1/2,-z'
'-x+1/2,y+1/2,-z'
'x+1/2,-y+1/2,z'
loop_
_atom_site_label
_atom_site_fract_x
_atom_site_fract_y
_atom_site_fract_z
Ba1 0.000 0.000 0.000
Ba2 0.000 0.331 0.000
Sr1 0.000 0.166 0.500
Ac1 0.000 0.500 0.500
O1 0.238 0.337 0.723
O2 0.249 0.000 0.725
```

***

The following is a DFT calculation (PBE) of an optimized crystal structure of Sm6Dy2YTh.

Crystal system   monoclinic
Size of the total moment   0.0 μB per formula unit
ΔH_f (0 K)   0.15 eV per atom

Structure (CIF):
```
data_Sm6Dy2YTh
_chemical_formula_sum 'Sm24 Dy8 Y4 Th4'
_cell_length_a 9.243
_cell_length_b 15.026
_cell_length_c 9.719
_cell_angle_alpha 90.00
_cell_angle_beta 97.88
_cell_angle_gamma 90.00
_symmetry_space_group_name_H-M 'C 1 2/c 1'
_symmetry_Int_Tables_number 15
loop_
_symmetry_equiv_pos_as_xyz
'x,y,z'
'-x,-y,-z'
'-x,y,-z+1/2'
'x,-y,z+1/2'
'x+1/2,y+1/2,z'
'-x+1/2,-y+1/2,-z'
'-x+1/2,y+1/2,-z+1/2'
'x+1/2,-y+1/2,z+1/2'
loop_
_atom_site_label
_atom_site_fract_x
_atom_site_fract_y
_atom_site_fract_z
Sm1 0.065 0.177 0.443
Sm2 0.096 0.392 0.620
Sm3 0.206 0.221 0.816
Dy1 0.247 0.046 0.049
Y1 0.000 0.407 0.250
Th1 0.000 0.028 0.750
```

***

The following is a DFT calculation (PBE) of an optimized crystal structure of DyZnGaPt2.

Crystal system   tetragonal
Size of the total moment   0.0 μB per formula unit
ΔH_f (0 K)   -0.88 eV per atom

Structure (CIF):
```
data_DyZnGaPt2
_chemical_formula_sum 'Dy2 Zn2 Ga2 Pt4'
_cell_length_a 3.883
_cell_length_b 3.883
_cell_length_c 12.366
_cell_angle_alpha 90.00
_cell_angle_beta 90.00
_cell_angle_gamma 90.00
_symmetry_space_group_name_H-M 'I -4 m 2'
_symmetry_Int_Tables_number 119
_symmetry_space_group_name_Hall 'I -4 -2'
loop_
_atom_site_label
_atom_site_fract_x
_atom_site_fract_y
_atom_site_fract_z
Dy1 0.000 0.000 0.000
Zn1 0.000 0.500 0.750
Ga1 0.000 0.500 0.250
Pt1 0.000 0.000 0.391
```

***

The following is a DFT calculation (PBE) of an optimized crystal structure of AgSbPt2.

Crystal system   tetragonal
Raw formation energy   -0.014 eV/atom
Size of the total moment   0.0 μB per formula unit

Structure (CIF):
```
data_AgSbPt2
_chemical_formula_sum 'Ag4 Sb4 Pt8'
_cell_length_a 7.431
_cell_length_b 7.431
_cell_length_c 5.588
_cell_angle_alpha 90.00
_cell_angle_beta 90.00
_cell_angle_gamma 90.00
_symmetry_space_group_name_H-M 'I -4 2 d'
_symmetry_Int_Tables_number 122
_symmetry_space_group_name_Hall 'I -4 2bw'
loop_
_atom_site_label
_atom_site_fract_x
_atom_site_fract_y
_atom_site_fract_z
Ag1 0.000 0.000 0.000
Sb1 0.000 0.000 0.500
Pt1 0.232 0.250 0.625
```